## one
Density functional theory data (PBE+U) for an optimized crystal structure of KMg6CrO8.

The value obtained for the calculated volume is 170.38 Å³/f.u. Its total moment is 2.994 μB per formula unit.

The structure belongs to space group P4/mmm (No. 123); the cell edges are 4.415, 4.415 and 8.743 Å and the angles 90.00°, 90.00° and 90.00°. The distinct sites, in fractional coordinates, are K at (0.000, 0.000, 0.000), Mg at (0.000, 0.000, 0.500), Mg at (0.000, 0.500, 0.255), Mg at (0.500, 0.500, 0.500), Cr at (0.500, 0.500, 0.000), O at (0.000, 0.000, 0.276), O at (0.000, 0.500, 0.000), O at (0.000, 0.500, 0.500) and O at (0.500, 0.500, 0.240).

=====

## two
Density functional theory data (PBE+U) for an optimized crystal structure of KMg6CrO8.

The value obtained for the calculated volume is 171.19 Å³/f.u. Its total moment is 3.465 μB per formula unit.

The structure belongs to space group P4/mmm (No. 123); the cell edges are 4.433, 4.433 and 8.712 Å and the angles 90.00°, 90.00° and 90.00°. The distinct sites, in fractional coordinates, are K at (0.000, 0.000, 0.000), Mg at (0.000, 0.500, 0.245), Mg at (0.500, 0.500, 0.000), Mg at (0.500, 0.500, 0.500), Cr at (0.000, 0.000, 0.500), O at (0.000, 0.000, 0.277), O at (0.000, 0.500, 0.000), O at (0.000, 0.500, 0.500) and O at (0.500, 0.500, 0.253).

=====

Which one sits at the bottom of the stability order? one does.